#A
GeTe2Pd8: relaxed, PBE.

Density (g cm⁻³): 10.62
Symmetry: R3c, No. 161

abc: 7.658 7.658 15.183
angles: 75.39 75.39 60.00
Fractional coordinates of all 44 atoms:
Ge 0.210 0.210 0.370
Ge 0.710 0.710 0.870
Ge 0.551 0.551 0.346
Ge 0.051 0.051 0.846
Pd 0.425 0.906 0.997
Pd 0.672 0.425 0.997
Pd 0.432 0.697 0.688
Pd 0.932 0.682 0.188
Pd 0.110 0.110 0.671
Pd 0.682 0.197 0.188
Pd 0.031 0.767 0.798
Pd 0.172 0.406 0.497
Pd 0.610 0.610 0.171
Pd 0.905 0.267 0.298
Pd 0.702 0.067 0.895
Pd 0.833 0.833 0.501
Pd 0.336 0.702 0.895
Pd 0.406 0.925 0.497
Pd 0.405 0.031 0.798
Pd 0.925 0.172 0.497
Pd 0.267 0.531 0.298
Pd 0.768 0.768 0.697
Pd 0.697 0.182 0.688
Pd 0.202 0.836 0.395
Pd 0.067 0.336 0.895
Pd 0.333 0.333 0.001
Pd 0.906 0.672 0.997
Pd 0.182 0.432 0.688
Pd 0.992 0.992 0.023
Pd 0.492 0.492 0.523
Pd 0.567 0.202 0.395
Pd 0.836 0.567 0.395
Pd 0.197 0.932 0.188
Pd 0.268 0.268 0.197
Pd 0.767 0.405 0.798
Pd 0.531 0.905 0.298
Te 0.304 0.617 0.096
Te 0.117 0.804 0.596
Te 0.804 0.483 0.596
Te 0.483 0.117 0.596
Te 0.617 0.983 0.096
Te 0.983 0.304 0.096
Te 0.894 0.894 0.319
Te 0.394 0.394 0.819

---

#B
GeTe2Pd8: relaxed, PBE.

Density (g cm⁻³): 10.43
Symmetry: C2/m, No. 12

abc: 4.319 6.644 7.502
angles: 113.34 106.73 90.00
Fractional coordinates of all 11 atoms:
Pd 0.971 0.177 0.941
Pd 0.188 0.279 0.376
Pd 0.416 0.573 0.833
Pd 0.668 0.942 0.336
Pd 0.029 0.823 0.059
Pd 0.812 0.721 0.624
Pd 0.584 0.427 0.167
Pd 0.332 0.058 0.664
Te 0.172 0.667 0.345
Te 0.828 0.333 0.655
Ge 0.500 0.000 0.000

---

Energetically preferred structure: #A | next structure: +2.0 kJ/mol of atoms